1.
Entry from Alexandria: a relaxed LaGdTl4 crystal (PBE).

The raw total energy is -4.908 eV/atom. For the energy relative to the elements, the calculation gives -0.16 eV/atom. The calculation puts the density at 10.6 g/cm3.

The structure belongs to space group F-43m (No. 216); the cell edges are 8.8744, 8.8744 and 8.8744 Å and the angles 90.00°, 90.00° and 90.00°. Symmetry generates all atoms from La at (0.0000, 0.0000, 0.0000), Gd at (0.2500, 0.2500, 0.2500) and Tl at (0.1249, 0.1249, 0.6249).

=====

2.
Entry from Alexandria: a relaxed Cr2SiSb crystal (PBE).

The raw total energy is -6.857 eV/atom. For the offset from the most stable computed form, the calculation gives 180 meV/atom. Its formation energy without anion corrections is 0.341 eV/atom. The calculation puts the density at 6.8 g/cm3.

The structure belongs to space group C2/m (No. 12); the cell edges are 5.9095, 7.0748 and 3.0162 Å and the angles 90.00°, 100.10° and 90.00°. Symmetry generates all atoms from Cr at (0.2500, 0.2500, 0.0000), Si at (0.0000, 0.0000, 0.5000) and Sb at (0.0000, 0.5000, 0.5000).

=====

3.
Entry from Alexandria: a relaxed Sc2ReBr crystal (PBE).

The raw total energy is -6.553 eV/atom. For the offset from the most stable computed form, the calculation gives 678 meV/atom. Its formation energy without anion corrections is 0.143 eV/atom. The calculation puts the density at 7.7 g/cm3.

The structure belongs to space group Fm-3m (No. 225); the cell edges are 6.7547, 6.7547 and 6.7547 Å and the angles 90.00°, 90.00° and 90.00°. Symmetry generates all atoms from Sc at (0.2500, 0.2500, 0.2500), Re at (0.0000, 0.0000, 0.0000) and Br at (0.0000, 0.0000, 0.5000).

=====

4.
Entry from Alexandria: a relaxed PrPa2IrN5 crystal (PBE).

The raw total energy is -9.311 eV/atom. Its formation energy without anion corrections is -1.060 eV/atom. The calculation puts the density at 11.2 g/cm3.

The structure belongs to space group I4/mcm (No. 140); the cell edges are 6.5653, 6.5653 and 11.8801 Å and the angles 90.00°, 90.00° and 90.00°. Symmetry generates all atoms from Pr at (0.0000, 0.0000, 0.2500), Pa at (0.1792, 0.3208, 0.0000), Ir at (0.0000, 0.5000, 0.2500), N at (0.0000, 0.0000, 0.0000) and N at (0.1430, 0.3570, 0.3758).

=====

5.
Entry from Alexandria: a relaxed Er2TmAg3Te6 crystal (PBE).

The raw total energy is -4.232 eV/atom. Its formation energy without anion corrections is -0.815 eV/atom. The calculation puts the density at 7.6 g/cm3.

The structure belongs to space group C2/m (No. 12); the cell edges are 18.8663, 4.3715 and 8.6485 Å and the angles 90.00°, 102.32° and 90.00°. Symmetry generates all atoms from Er at (0.1675, 0.0000, 0.3271), Tm at (0.0000, 0.5000, 0.0000), Ag at (0.0000, 0.5000, 0.5000), Ag at (0.1705, 0.0000, 0.8205), Te at (0.0000, 0.0000, 0.2495), Te at (0.1654, 0.5000, 0.5782) and Te at (0.1662, 0.5000, 0.0758).

=====

6.
Entry from Alexandria: a relaxed Tm2MgS crystal (PBE).

The raw total energy is -4.327 eV/atom. For the offset from the most stable computed form, the calculation gives 245 meV/atom. Its formation energy without anion corrections is -0.661 eV/atom. The calculation puts the density at 6.0 g/cm3.

The structure belongs to space group R-3m (No. 166, hexagonal axes); the cell edges are 3.5913, 3.5913 and 29.1660 Å and the angles 90.00°, 90.00° and 120.00°. Symmetry generates all atoms from Tm at (0.0000, 0.0000, 0.1102), Mg at (0.0000, 0.0000, 0.0000) and S at (0.0000, 0.0000, 0.5000).

=====

7.
Entry from Alexandria: a relaxed LaDyTh2 crystal (PBE).

The raw total energy is -5.920 eV/atom. For the offset from the most stable computed form, the calculation gives 145 meV/atom. For the energy relative to the elements, the calculation gives 0.17 eV/atom. The calculation puts the density at 9.5 g/cm3.

The structure belongs to space group R-3m (No. 166, hexagonal axes); the cell edges are 3.5125, 3.5125 and 37.4426 Å and the angles 90.00°, 90.00° and 120.00°. Symmetry generates all atoms from La at (0.0000, 0.0000, 0.0000), Dy at (0.0000, 0.0000, 0.5000) and Th at (0.0000, 0.0000, 0.0886).

=====

8.
Entry from Alexandria: a relaxed Cs2SbSe2 crystal (PBE).

The raw total energy is -2.710 eV/atom. For the offset from the most stable computed form, the calculation gives 459 meV/atom. Its formation energy without anion corrections is -0.151 eV/atom. The calculation puts the density at 4.7 g/cm3.

The structure belongs to space group P4/mbm (No. 127); the cell edges are 11.0459, 11.0459 and 3.1699 Å and the angles 90.00°, 90.00° and 90.00°. Symmetry generates all atoms from Cs at (0.1400, 0.3600, 0.0000), Sb at (0.0000, 0.0000, 0.0000) and Se at (0.1566, 0.6566, 0.5000).

=====

Q: raw total energy of number 8 (Cs2SbSe2)?
A: -2.710 eV/atom